VASP calculation (PBE) on an optimized crystal structure of Hg2BP.

Output
E_tot: -2.181 eV/atom
ΔE_f: 991.7 meV/atom
magnetization: 0.000 μB/atom

Cell: 6.640 6.640 6.640 Å, 128.58 128.58 75.68°
Fractional positions:
1 Hg 0.080 0.625 0.955
2 Hg 0.375 0.330 0.455
3 Hg 0.670 0.125 0.045
4 Hg 0.875 0.920 0.545
5 B 0.000 0.000 0.000
6 B 0.750 0.250 0.500
7 P 0.250 0.750 0.500
8 P 0.500 0.500 0.000